A plane-wave DFT calculation with PBE was carried out for NdEuCdCu after structural relaxation.

Formation energy   -165 meV/atom

Unit cell a=7.5333 b=7.5333 c=7.5333 alpha=90.00 beta=90.00 gamma=90.00
Last column: nearest neighbours and their distance in Å.
Space group F-43m (No. 216)
Asymmetric unit:
Nd (0.0000, 0.0000, 0.0000) [4 per cell]  4 Cd 3.26, 4 Cu 3.26
Eu (0.0000, 0.0000, 0.5000) [4 per cell]  4 Cd 3.26, 4 Cu 3.26
Cd (0.2500, 0.2500, 0.2500) [4 per cell]  4 Nd 3.26, 4 Eu 3.26
Cu (0.2500, 0.2500, 0.7500) [4 per cell]  4 Nd 3.26, 4 Eu 3.26